A plane-wave DFT calculation with GGA-PBE was carried out for a geometry-optimized NbCr2 structure.

Cell and atoms, written as POSCAR:
```
NbCr2
1.0
4.9057 0.0000 0.0000
-2.4529 4.2485 0.0000
0.0000 0.0000 8.0792
Cr Nb
8 4
direct
0.3390 0.1695 0.2500 Cr
0.8305 0.6610 0.2500 Cr
0.0000 0.0000 0.5000 Cr
0.1695 0.3390 0.7500 Cr
0.8305 0.1695 0.2500 Cr
0.6610 0.8305 0.7500 Cr
0.0000 0.0000 0.0000 Cr
0.1695 0.8305 0.7500 Cr
0.3333 0.6667 0.4407 Nb
0.3333 0.6667 0.0593 Nb
0.6667 0.3333 0.9407 Nb
0.6667 0.3333 0.5593 Nb
```

Formation energy: -0.0443 eV per atom
Calculated volume: 14.03 A^3/atom
Energy: -117.80 eV/cell

=====

A plane-wave DFT calculation with GGA-PBE was carried out for a geometry-optimized PuHgH structure.

Cell and atoms, written as POSCAR:
```
PuHgH
1.0
4.4262 0.0000 0.0000
0.0000 7.4332 0.5490
0.0000 0.4563 5.6450
H Hg Pu
4 4 4
direct
0.0000 0.3568 0.7454 H
0.5000 0.3568 0.2454 H
0.5000 0.6432 0.7546 H
0.0000 0.6432 0.2546 H
0.0000 0.6511 0.7219 Hg
0.5000 0.3489 0.7781 Hg
0.0000 0.3489 0.2781 Hg
0.5000 0.6511 0.2219 Hg
0.0000 0.9415 0.2006 Pu
0.5000 0.0585 0.2994 Pu
0.5000 0.9415 0.7006 Pu
0.0000 0.0585 0.7994 Pu
```

Polymorph energy (0 for the lowest one): 10.53 kcal/mol of atoms
Calculated volume: 15.38 A^3/atom
Energy: -68.42 eV/cell

=====

A plane-wave DFT calculation with GGA-PBE was carried out for a geometry-optimized LiAl2Cl structure.

Cell and atoms, written as POSCAR:
```
LiAl2Cl
1.0
-7.2583 -0.0956 3.6598
-2.4982 -5.8112 -5.1064
-4.0220 -4.7719 0.9273
Al Li Cl
4 2 2
direct
0.6434 0.1250 0.2500 Al
0.3750 0.3566 0.7500 Al
0.1066 0.6250 0.2500 Al
0.8750 0.8934 0.7500 Al
0.2500 0.7500 0.5000 Li
0.5000 0.5000 0.0000 Li
0.7500 0.2500 0.5000 Cl
0.0000 0.0000 0.0000 Cl
```

Polymorph energy (0 for the lowest one): 11.20 kcal/mol of atoms
Energy relative to the elements, uncorrected: -0.011 eV/atom
Calculated volume: 21.48 A^3/atom
Energy: -22.58 eV/cell

=====

A plane-wave DFT calculation with GGA-PBE was carried out for a geometry-optimized PrGaH3 structure.

Cell and atoms, written as POSCAR:
```
PrGaH3
1.0
3.7001 -0.0013 -1.3951
-1.1829 5.2808 -3.1256
0.2915 0.0464 6.3533
Ga Pr H
2 2 6
direct
0.0148 0.1558 0.7123 Ga
0.0394 0.7717 0.7610 Ga
0.7213 0.6677 0.1115 Pr
0.3454 0.2592 0.3614 Pr
0.5748 0.2517 0.7496 H
0.3283 0.8747 0.3201 H
0.2043 0.4010 0.0532 H
0.7463 0.0522 0.1527 H
0.8903 0.5264 0.4201 H
0.5684 0.6748 0.7237 H
```

Calculated volume: 12.69 A^3/atom
Energy: -39.26 eV/cell

=====

A plane-wave DFT calculation with GGA-PBE was carried out for a geometry-optimized Zr2ReIr structure.

Cell and atoms, written as POSCAR:
```
Zr2ReIr
1.0
-0.3782 -4.6356 -0.0495
2.6419 -3.8228 -0.2010
0.5805 -1.1584 5.3556
Zr Ir Re
2 1 1
direct
0.5007 0.5007 0.4977 Zr
0.9993 0.9993 0.0023 Zr
0.7500 0.7500 0.7500 Ir
0.2500 0.2500 0.2500 Re
```

Formation energy: -0.0949 eV per atom
Calculated volume: 18.50 A^3/atom
Energy: -38.79 eV/cell

=====

A plane-wave DFT calculation with GGA-PBE was carried out for a geometry-optimized Dy12Er7Pb structure.

Cell and atoms, written as POSCAR:
```
Dy12Er7Pb
1.0
-0.3324 8.5498 0.7881
-2.8360 -0.6346 8.0861
8.0225 0.2502 3.0671
Er Dy Pb
7 12 1
direct
0.8528 0.6150 0.9393 Er
0.1472 0.3850 0.0607 Er
0.6150 0.9393 0.8528 Er
0.3850 0.0607 0.1472 Er
0.0607 0.1472 0.3850 Er
0.9393 0.8528 0.6150 Er
0.5000 0.5000 0.5000 Er
0.8683 0.2633 0.7416 Dy
0.1437 0.5002 0.6169 Dy
0.1317 0.7367 0.2584 Dy
0.5002 0.6169 0.1437 Dy
0.2584 0.1317 0.7367 Dy
0.7367 0.2584 0.1317 Dy
0.6169 0.1437 0.5002 Dy
0.8563 0.4998 0.3831 Dy
0.7416 0.8683 0.2633 Dy
0.2633 0.7416 0.8683 Dy
0.3831 0.8563 0.4998 Dy
0.4998 0.3831 0.8563 Dy
0.0000 0.0000 0.0000 Pb
```

Formation energy: 0.1582 eV per atom
Calculated volume: 31.69 A^3/atom
Energy: -87.71 eV/cell

=====

A plane-wave DFT calculation with GGA-PBE was carried out for a geometry-optimized Hg2Pt2Pb structure.

Cell and atoms, written as POSCAR:
```
Hg2Pt2Pb
1.0
-5.4969 4.7849 -1.9305
1.0617 -1.7115 -7.2651
-2.4612 -2.7146 0.2798
Pt Hg Pb
4 4 2
direct
0.1358 0.3642 0.0000 Pt
0.3642 0.8642 0.0000 Pt
0.8642 0.6358 0.0000 Pt
0.6358 0.1358 0.0000 Pt
0.8394 0.3394 0.5000 Hg
0.3394 0.1606 0.5000 Hg
0.1606 0.6606 0.5000 Hg
0.6606 0.8394 0.5000 Hg
0.0000 0.0000 0.0000 Pb
0.5000 0.5000 0.0000 Pb
```

Formation energy: 0.0090 eV per atom
Polymorph energy (0 for the lowest one): 0.00 kcal/mol of atoms
Calculated volume: 20.89 A^3/atom
Energy: -32.70 eV/cell

=====

A plane-wave DFT calculation with GGA-PBE was carried out for a geometry-optimized Ca2PrNd2 structure.

Cell and atoms, written as POSCAR:
```
Ca2PrNd2
1.0
3.6774 0.0000 0.6866
1.8214 3.2411 0.4360
-1.0182 -1.5064 15.6456
Ca Pr Nd
2 1 2
direct
0.5968 0.7011 0.1054 Ca
0.4032 0.2989 0.8946 Ca
0.0000 0.5000 0.5000 Pr
0.2072 0.8959 0.6897 Nd
0.7928 0.1041 0.3103 Nd
```

Formation energy: 0.0336 eV per atom
Polymorph energy (0 for the lowest one): 0.00 kcal/mol of atoms
Calculated volume: 37.86 A^3/atom
Energy: -18.15 eV/cell

=====

A plane-wave DFT calculation with GGA-PBE was carried out for a geometry-optimized Sc3BiB structure.

Cell and atoms, written as POSCAR:
```
Sc3BiB
1.0
3.3467 -0.0007 -0.0003
1.6792 8.1500 0.0095
-1.6717 -0.8406 7.5050
Sc Bi B
6 2 2
direct
0.9253 0.0282 0.7990 Sc
0.1691 0.2412 0.5005 Sc
0.5872 0.5501 0.6469 Sc
0.3435 0.3372 0.9455 Sc
0.8986 0.5536 0.2727 Sc
0.6139 0.0249 0.1732 Sc
0.3435 0.8639 0.4704 Bi
0.1691 0.7146 0.9755 Bi
0.5159 0.3203 0.2733 B
0.9967 0.2582 0.1727 B
```

Formation energy: -0.4554 eV per atom
Polymorph energy (0 for the lowest one): 2.56 kcal/mol of atoms
Calculated volume: 20.47 A^3/atom
Energy: -63.66 eV/cell

=====

A plane-wave DFT calculation with GGA-PBE was carried out for a geometry-optimized LaPrSm2 structure.

Cell and atoms, written as POSCAR:
```
LaPrSm2
1.0
-1.2264 -5.3829 -1.9402
1.9116 -1.7219 -5.2559
4.2483 -4.0044 -0.4006
Pr Sm La
1 2 1
direct
0.0000 0.0000 0.0000 Pr
0.2500 0.2500 0.2500 Sm
0.7500 0.7500 0.7500 Sm
0.5000 0.5000 0.5000 La
```

Formation energy: 0.1198 eV per atom
Polymorph energy (0 for the lowest one): 2.88 kcal/mol of atoms
Calculated volume: 35.42 A^3/atom
Energy: -18.67 eV/cell

=====

A plane-wave DFT calculation with GGA-PBE was carried out for a geometry-optimized AlNiHRh2 structure.

Cell and atoms, written as POSCAR:
```
AlNiHRh2
1.0
3.8438 0.0000 0.0000
0.0000 3.8438 0.0000
0.0000 0.0000 3.7805
Rh H Al Ni
2 1 1 1
direct
0.0000 0.5000 0.0000 Rh
0.5000 0.0000 0.0000 Rh
0.0000 0.0000 0.0000 H
0.0000 0.0000 0.5000 Al
0.5000 0.5000 0.5000 Ni
```

Polymorph energy (0 for the lowest one): 4.61 kcal/mol of atoms
Calculated volume: 11.17 A^3/atom
Energy: -28.80 eV/cell

=====

A plane-wave DFT calculation with GGA-PBE was carried out for a geometry-optimized LiCrH2Se structure.

Cell and atoms, written as POSCAR:
```
LiCrH2Se
1.0
3.6215 0.0000 0.0000
0.0000 3.6215 0.0000
0.0000 0.0000 4.9173
Cr H Li Se
1 2 1 1
direct
0.0000 0.0000 0.0000 Cr
0.0000 0.5000 0.0000 H
0.5000 0.0000 0.0000 H
0.5000 0.5000 0.5000 Li
0.0000 0.0000 0.5000 Se
```

Polymorph energy (0 for the lowest one): 0.00 kcal/mol of atoms
Calculated volume: 12.90 A^3/atom
Energy: -22.88 eV/cell

=====

A plane-wave DFT calculation with GGA-PBE was carried out for a geometry-optimized Tb2Tm7In structure.

Cell and atoms, written as POSCAR:
```
Tb2Tm7In
1.0
-0.0929 -0.7962 5.1224
-0.2776 -9.1128 -1.4215
7.7504 4.9245 0.9061
In Tb Tm
1 2 7
direct
0.0000 0.0000 0.0000 In
0.5000 0.2930 0.7070 Tb
0.5000 0.7070 0.2930 Tb
0.5000 0.9271 0.7185 Tm
0.5000 0.0729 0.2815 Tm
0.0000 0.1956 0.8044 Tm
0.5000 0.5000 0.5000 Tm
0.5000 0.7185 0.9271 Tm
0.0000 0.8044 0.1956 Tm
0.5000 0.2815 0.0729 Tm
```

Formation energy: 0.6091 eV per atom
Calculated volume: 36.35 A^3/atom
Energy: -37.21 eV/cell

=====

A plane-wave DFT calculation with GGA-PBE was carried out for a geometry-optimized LaAl2Ag structure.

Cell and atoms, written as POSCAR:
```
LaAl2Ag
1.0
4.5048 0.0000 0.0000
0.0000 3.1501 -0.0332
0.0000 1.0286 6.3150
Al La Ag
2 1 1
direct
0.0000 0.8755 0.9540 Al
0.0000 0.6245 0.5460 Al
0.5000 0.2500 0.2500 La
0.5000 0.7500 0.7500 Ag
```

Formation energy: -0.1691 eV per atom
Polymorph energy (0 for the lowest one): 5.15 kcal/mol of atoms
Calculated volume: 22.44 A^3/atom
Energy: -15.94 eV/cell

=====

A plane-wave DFT calculation with GGA-PBE was carried out for a geometry-optimized BaMn2Nb structure.

Cell and atoms, written as POSCAR:
```
BaMn2Nb
1.0
4.8432 0.0000 0.0000
0.0000 4.8432 0.0000
2.4216 2.4216 8.2719
Ba Mn Nb
2 4 2
direct
0.0000 0.0000 0.0000 Ba
0.7500 0.2500 0.5000 Ba
0.3750 0.6250 0.7500 Mn
0.3750 0.6250 0.2500 Mn
0.8750 0.6250 0.7500 Mn
0.3750 0.1250 0.2500 Mn
0.5000 0.5000 0.0000 Nb
0.2500 0.7500 0.5000 Nb
```

Formation energy: 1.1660 eV per atom
Polymorph energy (0 for the lowest one): 0.00 kcal/mol of atoms
Calculated volume: 24.25 A^3/atom
Energy: -51.34 eV/cell

=====

A plane-wave DFT calculation with GGA-PBE was carried out for a geometry-optimized CsSrB3 structure.

Cell and atoms, written as POSCAR:
```
CsSrB3
1.0
4.9960 0.0000 0.0000
0.0000 4.9960 0.0000
0.0000 0.0000 4.9960
Cs B Sr
1 3 1
direct
0.0000 0.0000 0.0000 Cs
0.0000 0.5000 0.0000 B
0.5000 0.0000 0.0000 B
0.0000 0.0000 0.5000 B
0.5000 0.5000 0.5000 Sr
```

Formation energy: 2.5464 eV per atom
Polymorph energy (0 for the lowest one): 5.22 kcal/mol of atoms
Calculated volume: 24.94 A^3/atom
Energy: -9.84 eV/cell

=====

A plane-wave DFT calculation with GGA-PBE was carried out for a geometry-optimized PmNdAlZn structure.

Cell and atoms, written as POSCAR:
```
PmNdAlZn
1.0
3.6620 0.0000 0.0000
0.0000 3.6620 0.0000
0.0000 0.0000 7.5331
Zn Pm Al Nd
1 1 1 1
direct
0.5000 0.5000 0.6029 Zn
0.0000 0.0000 0.3619 Pm
0.5000 0.5000 0.1101 Al
0.0000 0.0000 0.8532 Nd
```

Formation energy: -0.3366 eV per atom
Polymorph energy (0 for the lowest one): 0.00 kcal/mol of atoms
Calculated volume: 25.25 A^3/atom
Energy: -15.88 eV/cell

=====

A plane-wave DFT calculation with GGA-PBE was carried out for a geometry-optimized Pr2YErS5 structure.

Cell and atoms, written as POSCAR:
```
Pr2YErS5
1.0
-0.4161 4.5748 -1.5890
-4.8002 -0.1782 0.7438
1.3560 3.4500 9.5777
Er Y S Pr
1 1 5 2
direct
0.0000 0.0000 0.5000 Er
0.0000 0.0000 0.0000 Y
0.0000 0.0000 0.7547 S
0.5000 0.0000 0.5000 S
0.0000 0.0000 0.2453 S
0.5000 0.5000 0.0000 S
0.0000 0.5000 0.5000 S
0.5000 0.5000 0.2941 Pr
0.5000 0.5000 0.7059 Pr
```

Energy relative to the elements, uncorrected: -1.510 eV/atom
Calculated volume: 26.96 A^3/atom
Energy: -54.82 eV/cell

=====

A plane-wave DFT calculation with GGA-PBE was carried out for a geometry-optimized PrEuInPb structure.

Cell and atoms, written as POSCAR:
```
PrEuInPb
1.0
5.5889 0.0000 0.0000
2.7945 4.8401 0.0000
2.7945 1.6134 4.5633
Eu Pr In Pb
1 1 1 1
direct
0.0000 0.0000 0.0000 Eu
0.5000 0.5000 0.5000 Pr
0.2500 0.2500 0.2500 In
0.7500 0.7500 0.7500 Pb
```

Formation energy: -0.4748 eV per atom
Calculated volume: 30.86 A^3/atom
Energy: -23.40 eV/cell

=====

A plane-wave DFT calculation with GGA-PBE was carried out for a geometry-optimized LiHf2Se4 structure.

Cell and atoms, written as POSCAR:
```
LiHf2Se4
1.0
6.6343 0.0000 3.8239
2.2613 6.2464 3.7438
0.0242 0.0538 7.6252
Se Hf Li
8 4 2
direct
0.7498 0.7506 0.2506 Se
0.2526 0.2466 0.2481 Se
0.2526 0.7481 0.7466 Se
0.7474 0.2519 0.2534 Se
0.2502 0.2494 0.7494 Se
0.7474 0.7534 0.7519 Se
0.2491 0.7506 0.2506 Se
0.7509 0.2494 0.7494 Se
0.0000 0.0000 0.0000 Hf
0.0000 0.0000 0.5000 Hf
0.0000 0.5000 0.5000 Hf
0.5000 0.0000 0.5000 Hf
0.0000 0.5000 0.0000 Li
0.5000 0.5000 0.0000 Li
```

Polymorph energy (0 for the lowest one): 0.00 kcal/mol of atoms
Energy relative to the elements, uncorrected: -1.320 eV/atom
Calculated volume: 22.47 A^3/atom
Energy: -89.99 eV/cell